1.
Below is a relaxed AcPrDyHo2 crystal, with properties calculated at the PBE level.

Cell lengths 7.3282, 7.3282, 7.3201 Å; angles 90.00, 90.00, 108.85 degrees
With the nearest neighbours (Å) after each atom.
Sites, in units of the cell vectors:
Ac 0.2399 0.7601 0.7500  1 Pr 3.32, 2 Dy 3.68
Ac 0.7601 0.2399 0.2500  1 Pr 3.32, 2 Dy 3.68
Pr 0.4813 0.5187 0.2500  4 Ho 3.25, 1 Dy 3.28, 1 Ac 3.32
Pr 0.5187 0.4813 0.7500  4 Ho 3.25, 1 Dy 3.28, 1 Ac 3.32
Dy 0.2065 0.7935 0.2500  1 Pr 3.28, 4 Ho 3.45
Dy 0.7935 0.2065 0.7500  1 Pr 3.28, 4 Ho 3.45
Ho 0.1863 0.1863 0.0000  1 Ho 3.18, 2 Pr 3.25, 2 Dy 3.45
Ho 0.1863 0.1863 0.5000  1 Ho 3.18, 2 Pr 3.25, 2 Dy 3.45
Ho 0.8137 0.8137 0.0000  1 Ho 3.18, 2 Pr 3.25, 2 Dy 3.45
Ho 0.8137 0.8137 0.5000  1 Ho 3.18, 2 Pr 3.25, 2 Dy 3.45

Results
VASP energy	-4.1802	eV per atom
calculated formation energy	0.349	eV/atom

2.
Below is a relaxed Ac2Pr5DyHo crystal, with properties calculated at the PBE level.

Cell lengths 11.7159, 11.7159, 10.5137 Å; angles 90.00, 90.00, 152.08 degrees
With the nearest neighbours (Å) after each atom.
Sites, in units of the cell vectors:
Ac 0.1160 0.8840 0.5118  1 Ho 3.59, 9 Pr 3.69-3.87, 2 Dy 3.96
Ac 0.1160 0.8840 0.9882  1 Ho 3.59, 9 Pr 3.69-3.87, 2 Dy 3.96
Ac 0.8840 0.1160 0.0118  1 Ho 3.59, 9 Pr 3.69-3.87, 2 Dy 3.96
Ac 0.8840 0.1160 0.4882  1 Ho 3.59, 9 Pr 3.69-3.87, 2 Dy 3.96
Pr 0.0033 0.9967 0.2500  2 Dy 3.62, 4 Ac 3.69-3.76, 6 Pr 3.86-4.02
Pr 0.2783 0.7217 0.5610  1 Dy 3.36, 2 Pr 3.36, 3 Ho 3.46-3.55, 1 Ac 3.73
Pr 0.2783 0.7217 0.9390  1 Dy 3.36, 2 Pr 3.36, 3 Ho 3.46-3.55, 1 Ac 3.73
Pr 0.3777 0.6223 0.2500  1 Ho 3.65, 4 Ac 3.78, 6 Pr 3.83-4.02
Pr 0.5000 0.5000 0.0000  2 Dy 3.52, 6 Pr 3.83-3.86, 4 Ac 3.87
Pr 0.5000 0.5000 0.5000  2 Dy 3.52, 6 Pr 3.83-3.86, 4 Ac 3.87
Pr 0.6223 0.3777 0.7500  1 Ho 3.65, 4 Ac 3.78, 6 Pr 3.83-4.02
Pr 0.7217 0.2783 0.0610  1 Dy 3.36, 2 Pr 3.36, 3 Ho 3.46-3.55, 1 Ac 3.73
Pr 0.7217 0.2783 0.4390  1 Dy 3.36, 2 Pr 3.36, 3 Ho 3.46-3.55, 1 Ac 3.73
Pr 0.9967 0.0033 0.7500  2 Dy 3.62, 4 Ac 3.69-3.76, 6 Pr 3.86-4.02
Dy 0.3972 0.6028 0.7500  6 Pr 3.36-3.62
Dy 0.6028 0.3972 0.2500  6 Pr 3.36-3.62
Ho 0.2171 0.7829 0.2500  7 Pr 3.46-3.65, 2 Ac 3.59, 2 Dy 3.84
Ho 0.7829 0.2171 0.7500  7 Pr 3.46-3.65, 2 Ac 3.59, 2 Dy 3.84

Results
VASP energy	-4.4775	eV per atom
calculated formation energy	0.111	eV/atom

3.
Below is a relaxed AcPrDy2Ho4 crystal, with properties calculated at the PBE level.

Cell lengths 9.6257, 9.6257, 9.6257 Å; angles 137.92, 103.40, 91.50 degrees
With the nearest neighbours (Å) after each atom.
Sites, in units of the cell vectors:
Ac 0.0000 0.0000 0.0000  2 Dy 3.46, 6 Ho 3.49
Ac 0.5000 0.0000 0.5000  2 Dy 3.46, 6 Ho 3.49
Pr 0.5000 0.0000 0.0000  6 Ho 3.43-3.51, 2 Pr 3.46
Pr 0.5000 0.5000 0.5000  6 Ho 3.43-3.51, 2 Pr 3.46
Dy 0.0000 0.0000 0.5000  6 Ho 3.29-3.39, 2 Dy 3.46
Dy 0.0000 0.5000 0.0000  6 Ho 3.29-3.39, 2 Dy 3.46
Dy 0.0000 0.5000 0.5000  6 Ho 3.23-3.40, 2 Ac 3.46
Dy 0.5000 0.5000 0.0000  6 Ho 3.23-3.40, 2 Ac 3.46
Ho 0.2351 0.7405 0.4946  3 Dy 3.23-3.39, 2 Ho 3.47, 1 Ac 3.49, 2 Pr 3.51
Ho 0.2450 0.2580 0.5130  2 Ho 3.28-3.64, 3 Dy 3.29-3.40, 1 Pr 3.43, 2 Ac 3.49
Ho 0.2450 0.7321 0.9870  2 Ho 3.28-3.64, 3 Dy 3.29-3.40, 1 Pr 3.43, 2 Ac 3.49
Ho 0.2541 0.2595 0.9946  3 Dy 3.23-3.39, 2 Ho 3.47, 1 Ac 3.49, 2 Pr 3.51
Ho 0.7459 0.7405 0.0054  3 Dy 3.23-3.39, 2 Ho 3.47, 1 Ac 3.49, 2 Pr 3.51
Ho 0.7550 0.2679 0.0130  2 Ho 3.28-3.64, 3 Dy 3.29-3.40, 1 Pr 3.43, 2 Ac 3.49
Ho 0.7550 0.7420 0.4870  2 Ho 3.28-3.64, 3 Dy 3.29-3.40, 1 Pr 3.43, 2 Ac 3.49
Ho 0.7649 0.2595 0.5054  3 Dy 3.23-3.39, 2 Ho 3.47, 1 Ac 3.49, 2 Pr 3.51

Results
VASP energy	-4.1086	eV per atom
calculated formation energy	0.442	eV/atom